# YPa2Sb, optimized geometry, DFT GGA-PBE
data_YPa2Sb
_cell_length_a 4.458
_cell_length_b 4.458
_cell_length_c 5.117
_cell_angle_alpha 90.00
_cell_angle_beta 90.00
_cell_angle_gamma 90.00
_space_group_name_H-M_alt 'P 4/m m m'
_space_group_IT_number 123
_space_group_name_Hall '-P 4 2'
loop_
_atom_site_label
_atom_site_type_symbol
_atom_site_fract_x
_atom_site_fract_y
_atom_site_fract_z
Y1 Y 0.000 0.000 0.000
Pa1 Pa 0.000 0.500 0.500
Sb1 Sb 0.500 0.500 0.000
# VASP energy   -7.67 eV per atom
# Formation energy from raw total energies   -27 kJ per mole of atoms
# N(E_F)   8.1 states/eV per cell